An optimized crystal structure of PmAl2S4. Source: Alexandria via LeMat-Bulk, functional PBE. Values from VASP.

The structure in Quantum ESPRESSO input format:
```
&SYSTEM
  ibrav = 0, nat = 14, ntyp = 3
/
ATOMIC_SPECIES
Pm 145.00 Pm.upf
Al 26.98 Al.upf
S 32.06 S.upf
CELL_PARAMETERS angstrom
3.657 -6.213 0.000
3.657 6.213 0.000
-3.485 0.000 7.011
ATOMIC_POSITIONS crystal
Pm 0.125 0.875 0.500
Pm 0.875 0.125 0.000
Al 0.368 0.450 0.673
Al 0.450 0.368 0.173
Al 0.517 0.937 0.328
Al 0.937 0.517 0.828
S 0.129 0.637 0.154
S 0.229 0.239 0.349
S 0.239 0.229 0.849
S 0.241 0.679 0.739
S 0.637 0.129 0.654
S 0.679 0.241 0.239
S 0.693 0.755 0.257
S 0.755 0.693 0.757
```

Results
Formation energy (no corrections) = -1.228 eV per atom
Total magnetization = 0.00 μB per formula unit
Calculated volume = 318.6 Å³/cell
DOS at the Fermi energy = 1.5 states/eV/f.u.
Space group = Cc
Energy above the most stable polymorph in this dataset = 0.0 meV per atom